VASP calculation (PBE+U) on a relaxed CrBOF2 crystal.

Properties
- ρ (g/cm³) = 3.92
- crystal system = tetragonal
- polymorph energy (0 for the lowest one) (eV per atom) = 0.000
- DOS(E_F) (states/eV/atom) = 0.1122

Unit cell a=4.286 b=4.286 c=2.694 alpha=90.00 beta=90.00 gamma=90.00
Fractional positions:
Cr 0.000 0.000 0.000
B 0.500 0.500 0.500
O 0.500 0.500 0.000
F 0.000 0.500 0.500
F 0.500 0.000 0.500